# TiNiWO6

A relaxed TiNiWO6 crystal (PBE with a Hubbard U, Alexandria via LeMat-Bulk).

Calculated values
Space-group type: P-31c (163)
VASP energy (eV/f.u.): -66.23
V (Å³ per cell): 202

POSCAR file:
```
TiNiWO6
1.0
5.094 0.000 0.000
-2.547 4.412 0.000
0.000 0.000 8.970
Ti Ni W O
2 2 2 12
Cartesian
2.547 1.471 2.242
0.000 2.941 6.727
0.000 0.000 0.000
0.000 0.000 4.485
0.000 2.941 2.242
2.547 1.471 6.727
1.641 2.875 1.191
-0.878 1.553 1.191
1.784 0.016 5.676
3.425 2.859 7.779
0.878 1.553 3.294
-1.641 2.875 3.294
3.310 0.016 7.779
0.763 4.396 3.294
4.188 1.537 5.676
-0.763 4.396 1.191
1.669 2.859 5.676
0.906 1.537 7.779
```